5
Lattice="4.815 0.000 0.000 0.000 4.815 0.000 0.000 0.000 5.664" Properties=species:S:1:pos:R:3 comment="Ga2HgPdPb (PBE, optimized geometry)" space_group="P4/mmm (123)" magnetic_moment_mub_per_fu=0.00 e_form_ev_per_atom=-0.061 pbc="T T T"
Pb 0.000 0.000 2.832
Ga 0.000 2.407 0.000
Ga 2.407 0.000 0.000
Hg 2.407 2.407 2.832
Pd 0.000 0.000 0.000